Material: GdScO3
Method: DFT, GGA-PBE
State: relaxed

The structure belongs to space group R-3c (No. 167, hexagonal axes); the cell edges are 5.6628, 5.6628 and 13.5758 Å and the angles 90.00°, 90.00° and 120.00°. The distinct sites, in fractional coordinates, are Gd at (0.0000, 0.0000, 0.2500), Sc at (0.0000, 0.0000, 0.0000) and O at (0.0000, 0.3917, 0.2500).

The electronic total energy comes out at -8.62 eV per atom. The value obtained for the total magnetization is 0.0000 μB per atom.